No. 1
The following is a PBE calculation of a relaxed NaVTe3 crystal, from the Alexandria database.

## Properties
SG   C2/c, No. 15
Density of states at the Fermi level   4.683 states/eV per cell
Energy above the lowest structure with this stoichiometry   0.0000 eV/atom
V   28.90 Å³/atom
ρ   5.25 g/cm3

```
20
Lattice="6.3583 -7.0425 0.0000 6.3583 7.0425 0.0000 -0.0861 0.0000 6.4529" Properties=species:S:1:pos:R:3 pbc="T T T"
Na 1.8497 1.1947 0.6515
Na 1.8066 -1.1947 3.8780
Na 10.8239 1.1947 2.5749
Na 10.7809 -1.1947 5.8014
V 6.3368 2.5433 1.6132
V 6.2937 0.9084 4.8397
V 6.3368 -0.9084 1.6132
V 6.2937 -2.5433 4.8397
Te 5.1962 5.0294 2.4511
Te 4.6573 2.7017 5.8969
Te 7.4774 5.0294 0.7754
Te 4.5698 0.9500 2.7042
Te 4.5268 -0.9500 5.9306
Te 7.9302 2.7017 3.7824
Te 4.7003 -2.7017 2.6705
Te 8.1037 0.9500 0.5223
Te 8.0607 -0.9500 3.7487
Te 5.1532 -5.0294 5.6775
Te 7.9733 -2.7017 0.5560
Te 7.4343 -5.0294 4.0018
```



No. 2
The following is a PBE calculation of a relaxed LiPr2Zn4Ge3 crystal, from the Alexandria database.

## Properties
SG   P-4m2, No. 115
Density of states at the Fermi level   2.748 states/eV per cell
V   19.30 Å³/atom
ρ   6.61 g/cm3
E_form   -0.453 eV/atom

```
10
Lattice="4.2145 0.0000 0.0000 0.0000 4.2145 0.0000 0.0000 0.0000 10.8664" Properties=species:S:1:pos:R:3 pbc="T T T"
Li 0.0000 0.0000 0.0000
Pr 0.0000 2.1072 8.1099
Pr 2.1072 0.0000 2.7565
Zn 0.0000 0.0000 5.4332
Zn 0.0000 2.1072 1.4010
Zn 2.1072 0.0000 9.4654
Zn 2.1072 2.1072 5.4332
Ge 0.0000 2.1072 3.8857
Ge 2.1072 0.0000 6.9807
Ge 2.1072 2.1072 0.0000
```